Record 1
Compound: La5Tl2Zn2
Source: the Alexandria database
Functional: PBE
Structure: relaxed

- Uncorrected energy: -3.80 eV per atom
- Calculated formation energy: -0.2573 eV/atom

abc: 7.7822 8.4451 9.5845
angles: 116.14 90.00 90.00
Fractional coordinates of all 18 atoms:
La  0.5000  0.5000  0.0000
La  0.6737  0.3220  0.2663
La  0.3263  0.6780  0.7337
La  0.3263  0.9443  0.2663
La  0.6737  0.0557  0.7337
La  0.1737  0.1780  0.7337
La  0.8263  0.8220  0.2663
La  0.1737  0.4443  0.2663
La  0.0000  0.0000  0.0000
La  0.8263  0.5557  0.7337
Zn  0.1155  0.6139  0.0000
Zn  0.6155  0.8861  0.0000
Zn  0.8845  0.3861  0.0000
Zn  0.3845  0.1139  0.0000
Tl  0.5000  0.2806  0.5613
Tl  0.0000  0.2194  0.4387
Tl  0.5000  0.7194  0.4387
Tl  0.0000  0.7806  0.5613

=====

Record 2
Compound: Ta2GeRhCl
Source: the Alexandria database
Functional: PBE
Structure: relaxed

- Raw formation energy: 27.64 kcal/mol of atoms
- Uncorrected energy: -6.31 eV per atom

abc: 4.8779 4.4993 4.8779
angles: 90.00 90.00 90.00
Fractional coordinates of all 5 atoms:
Cl  0.5000  0.5000  0.5000
Rh  0.0000  0.5000  0.0000
Ge  0.0000  0.0000  0.0000
Ta  0.0000  0.0000  0.5000
Ta  0.5000  0.0000  0.0000

=====

Record 3
Compound: LiCaTlHg2
Source: the Alexandria database
Functional: PBE
Structure: relaxed

- Uncorrected energy: -1.58 eV per atom
- Calculated formation energy: -0.2031 eV/atom

abc: 5.0183 5.0183 5.0964
angles: 90.00 90.00 90.00
Fractional coordinates of all 5 atoms:
Tl  0.0000  0.0000  0.5000
Hg  0.0000  0.5000  0.0000
Hg  0.5000  0.0000  0.0000
Li  0.0000  0.0000  0.0000
Ca  0.5000  0.5000  0.5000

=====

Record 4
Compound: AgRuSe
Source: the Alexandria database
Functional: PBE
Structure: relaxed

- Raw formation energy: 1.88 kcal/mol of atoms
- Uncorrected energy: -5.12 eV per atom
- Relative energy among the computed polymorphs: 0.0 meV/atom

abc: 4.1449 4.1449 6.3234
angles: 90.00 90.00 90.00
Fractional coordinates of all 6 atoms:
Ag  0.5000  0.0000  0.1534
Ag  0.0000  0.5000  0.8466
Ru  0.5000  0.5000  0.5000
Ru  0.0000  0.0000  0.5000
Se  0.0000  0.5000  0.2802
Se  0.5000  0.0000  0.7198

=====

Record 5
Compound: CeTh2ScP4
Source: the Alexandria database
Functional: PBE
Structure: relaxed

- Uncorrected energy: -7.59 eV per atom
- Calculated formation energy: -1.4963 eV/atom

abc: 4.0613 6.9829 7.0060
angles: 70.38 90.00 90.00
Fractional coordinates of all 8 atoms:
Ce  0.0000  0.5000  0.5000
Th  0.5000  0.0000  0.5000
Th  0.0000  0.0000  0.0000
P  0.5000  0.2614  0.7541
P  0.5000  0.7386  0.2459
P  0.0000  0.7341  0.7622
P  0.0000  0.2659  0.2378
Sc  0.5000  0.5000  0.0000

=====

Record 6
Compound: Dy6Cu5Ru
Source: the Alexandria database
Functional: PBE
Structure: relaxed

- Uncorrected energy: -5.06 eV per atom
- Calculated formation energy: -0.2834 eV/atom

abc: 4.8994 6.8977 7.7409
angles: 90.00 71.56 90.00
Fractional coordinates of all 12 atoms:
Dy  0.8356  0.7531  0.3280
Dy  0.5000  0.2436  0.0000
Dy  0.1644  0.2469  0.6720
Dy  0.8356  0.2469  0.3280
Dy  0.1644  0.7531  0.6720
Dy  0.5000  0.7564  0.0000
Cu  0.3362  0.5000  0.3285
Cu  0.0000  0.5000  0.0000
Cu  0.6688  0.0000  0.6633
Cu  0.6638  0.5000  0.6715
Cu  0.3312  0.0000  0.3367
Ru  0.0000  0.0000  0.0000

=====

Record 7
Compound: MnTePtI2
Source: the Alexandria database
Functional: PBE
Structure: relaxed

- Raw formation energy: 22.45 kcal/mol of atoms
- Uncorrected energy: -3.32 eV per atom
- Relative energy among the computed polymorphs: 482.4 meV/atom

abc: 5.2760 5.2760 4.8103
angles: 90.00 90.00 90.00
Fractional coordinates of all 5 atoms:
Te  0.0000  0.0000  0.5000
I  0.0000  0.5000  0.0000
I  0.5000  0.0000  0.0000
Pt  0.5000  0.5000  0.5000
Mn  0.0000  0.0000  0.0000

=====

Record 8
Compound: Hf13Ti3
Source: the Alexandria database
Functional: PBE
Structure: relaxed

- Uncorrected energy: -9.47 eV per atom
- Calculated formation energy: 0.0976 eV/atom

abc: 6.8243 6.8243 7.3908
angles: 90.00 90.00 90.20
Fractional coordinates of all 16 atoms:
Ti  0.9967  0.0033  0.7000
Ti  0.7910  0.2090  0.0000
Ti  0.9967  0.0033  0.3000
Hf  0.2705  0.2716  0.5000
Hf  0.5065  0.0064  0.7680
Hf  0.2086  0.2092  0.0000
Hf  0.2179  0.7821  0.0000
Hf  0.5028  0.4972  0.7885
Hf  0.7908  0.7914  0.0000
Hf  0.9936  0.4935  0.7680
Hf  0.7284  0.7295  0.5000
Hf  0.7263  0.2737  0.5000
Hf  0.5028  0.4972  0.2115
Hf  0.5065  0.0064  0.2320
Hf  0.2673  0.7327  0.5000
Hf  0.9936  0.4935  0.2320

=====

Record 9
Compound: PrEr6Sc
Source: the Alexandria database
Functional: PBE
Structure: relaxed

- Uncorrected energy: -4.42 eV per atom
- Calculated formation energy: 0.3897 eV/atom
- Relative energy among the computed polymorphs: 148.3 meV/atom

abc: 5.9344 5.9344 9.1842
angles: 89.89 114.72 110.84
Fractional coordinates of all 8 atoms:
Pr  0.5000  0.0000  0.5000
Er  0.6404  0.5538  0.7049
Er  0.3000  0.6356  0.9356
Er  0.1511  0.0645  0.7049
Er  0.3596  0.4462  0.2951
Er  0.7000  0.3644  0.0644
Er  0.8489  0.9355  0.2951
Sc  0.0000  0.0000  0.0000

=====

Record 10
Compound: ZrCoRu2
Source: the Alexandria database
Functional: PBE
Structure: relaxed

- Uncorrected energy: -8.27 eV per atom
- Calculated formation energy: 0.2837 eV/atom
- Relative energy among the computed polymorphs: 417.7 meV/atom

abc: 9.1957 9.1957 9.1957
angles: 17.39 17.39 17.39
Fractional coordinates of all 4 atoms:
Ru  0.0021  0.0021  0.0021
Ru  0.2576  0.2576  0.2576
Zr  0.4974  0.4974  0.4974
Co  0.7430  0.7430  0.7430

=====

Record 11
Compound: ZnCuRu4
Source: the Alexandria database
Functional: PBE
Structure: relaxed

- Uncorrected energy: -6.45 eV per atom
- Calculated formation energy: 0.6259 eV/atom

abc: 5.0709 5.0709 5.0709
angles: 60.00 60.00 60.00
Fractional coordinates of all 6 atoms:
Ru  0.3749  0.3749  0.3749
Ru  0.3749  0.8753  0.3749
Ru  0.3749  0.3749  0.8753
Ru  0.8753  0.3749  0.3749
Zn  0.7500  0.7500  0.7500
Cu  0.0000  0.0000  0.0000

=====

Record 12
Compound: KCd2Se
Source: the Alexandria database
Functional: PBE
Structure: relaxed

- Raw formation energy: -5.83 kcal/mol of atoms
- Uncorrected energy: -1.86 eV per atom

abc: 6.2535 6.2535 6.2535
angles: 137.67 137.67 61.41
Fractional coordinates of all 4 atoms:
Cd  0.0000  0.0000  0.0000
Cd  0.5000  0.5000  0.0000
K  0.2500  0.7500  0.5000
Se  0.7500  0.2500  0.5000

=====

Q: Number 6 is which compound?
A: Dy6Cu5Ru